A plane-wave DFT calculation with PBE-GGA was carried out for a geometry-optimized KTbTi2O6 structure.

Properties
**Theoretical density**: 3.73 g/cm3
**N(E_F)**: 0.000 states/eV per atom
**Formation energy from raw total energies**: -2.9669 eV per atom
**Total energy**: -8.09 eV per atom
**Space group**: C2/c

Cell and atoms, written as POSCAR:
```
KTbTi2O6
1.0
-0.428 -0.701 6.309
6.436 -3.595 2.030
3.213 6.298 2.911
Ti K O Tb
4 2 12 2
Cartesian
2.308 1.125 5.776 Ti
3.041 -0.117 2.480 Ti
6.913 0.878 5.474 Ti
6.180 2.120 8.770 Ti
3.192 4.854 7.561 K
6.030 -2.852 3.690 K
4.759 3.139 8.692 O
3.053 -0.067 7.086 O
4.462 -1.137 2.559 O
6.207 0.945 7.251 O
7.673 3.127 8.853 O
2.867 2.755 6.091 O
6.355 -0.752 5.160 O
6.168 2.070 4.165 O
1.549 -1.124 2.397 O
3.015 1.057 4.000 O
8.714 0.937 5.473 O
0.507 1.066 5.778 O
4.003 3.370 4.243 Tb
5.218 -1.367 7.007 Tb
```

=====

A plane-wave DFT calculation with PBE-GGA was carried out for a geometry-optimized K4Tb3TiO8 structure.

Properties
**Theoretical density**: 5.32 g/cm3
**N(E_F)**: 0.261 states/eV per atom
**Formation energy from raw total energies**: -2.5884 eV per atom
**Total energy**: -6.70 eV per atom
**Space group**: R-3m

Cell and atoms, written as POSCAR:
```
K4Tb3TiO8
1.0
-3.362 -5.963 0.178
6.226 -3.454 1.895
-2.068 5.216 3.927
Tb O K Ti
3 8 4 1
Cartesian
2.079 0.881 2.911 Tb
0.398 -2.100 3.000 Tb
1.432 -4.708 1.037 Tb
1.055 -2.431 0.798 O
-0.717 -5.573 0.892 O
0.889 -4.336 3.243 O
2.602 -1.376 3.041 O
1.512 1.372 5.108 O
-0.094 0.135 2.757 O
-1.806 -2.825 2.959 O
-0.259 -1.770 5.202 O
-1.034 2.608 1.963 K
0.000 0.000 0.000 K
-2.715 -0.373 2.053 K
-1.681 -2.981 0.089 K
3.113 -1.727 0.947 Ti
```

=====

A plane-wave DFT calculation with PBE-GGA was carried out for a geometry-optimized K2TbTlO4 structure.

Properties
**Theoretical density**: 6.33 g/cm3
**Formation energy from raw total energies**: -1.8738 eV per atom
**Total energy**: -5.50 eV per atom
**Space group**: P2/m

Cell and atoms, written as POSCAR:
```
K2TbTlO4
1.0
3.498 0.000 0.000
0.000 6.040 0.057
0.000 -2.154 6.259
O K Tl Tb
4 2 1 1
Cartesian
0.000 3.928 1.259 O
1.749 2.895 5.086 O
1.749 0.991 1.230 O
0.000 -0.042 5.058 O
0.000 1.943 3.158 K
1.749 -1.077 3.130 K
0.000 0.000 0.000 Tl
1.749 3.020 0.029 Tb
```

=====

A plane-wave DFT calculation with PBE-GGA was carried out for a geometry-optimized KTbTlO3 structure.

Properties
**Theoretical density**: 5.66 g/cm3
**N(E_F)**: 0.118 states/eV per atom
**Formation energy from raw total energies**: -1.9725 eV per atom
**Total energy**: -5.80 eV per atom
**Space group**: P2_1/m

Cell and atoms, written as POSCAR:
```
KTbTlO3
1.0
3.530 0.000 0.000
0.000 11.440 1.399
0.000 -3.237 6.150
Tl O K Tb
2 6 2 2
Cartesian
2.647 8.651 3.947 Tl
0.882 -0.448 3.603 Tl
0.882 3.098 5.758 O
2.647 1.004 3.338 O
2.647 5.105 1.791 O
0.882 0.106 5.730 O
2.647 8.097 1.819 O
0.882 7.199 4.212 O
2.647 5.378 5.373 K
0.882 2.825 2.176 K
2.647 1.599 5.681 Tb
0.882 6.604 1.869 Tb
```

=====

A plane-wave DFT calculation with PBE-GGA was carried out for a geometry-optimized K4Tb3TlO8 structure.

Properties
**Theoretical density**: 6.02 g/cm3
**N(E_F)**: 0.000 states/eV per atom
**Formation energy from raw total energies**: -2.3055 eV per atom
**Total energy**: -6.08 eV per atom
**Space group**: R-3m

Cell and atoms, written as POSCAR:
```
K4Tb3TlO8
1.0
6.995 0.000 0.000
0.000 7.462 0.320
-3.498 -3.489 4.951
K Tl O Tb
4 1 8 3
Cartesian
0.000 0.000 0.000 K
1.749 -1.745 2.476 K
-1.749 -1.745 2.476 K
3.498 0.000 0.000 K
0.000 3.731 0.160 Tl
1.786 2.144 0.303 O
0.000 0.460 2.795 O
0.000 3.536 2.545 O
5.209 2.144 0.303 O
1.711 1.828 4.968 O
3.498 0.437 2.726 O
3.498 3.512 2.476 O
-1.711 1.828 4.968 O
-1.749 1.986 2.636 Tb
1.749 1.986 2.636 Tb
3.498 3.731 0.160 Tb
```

=====

A plane-wave DFT calculation with PBE-GGA was carried out for a geometry-optimized K2TbTmO4 structure.

Properties
**Theoretical density**: 6.00 g/cm3
**N(E_F)**: 0.000 states/eV per atom
**Formation energy from raw total energies**: -2.7820 eV per atom
**Total energy**: -6.67 eV per atom
**Space group**: P2/m

Cell and atoms, written as POSCAR:
```
K2TbTmO4
1.0
3.464 0.000 0.000
0.000 6.000 0.101
0.000 -2.103 6.220
O K Tm Tb
4 2 1 1
Cartesian
0.000 -0.113 5.096 O
0.000 4.010 1.226 O
1.732 2.944 5.155 O
1.732 0.953 1.166 O
0.000 1.948 3.161 K
1.732 -1.052 3.110 K
0.000 0.000 0.000 Tm
1.732 3.000 0.051 Tb
```

=====

A plane-wave DFT calculation with PBE-GGA was carried out for a geometry-optimized K2TbUO6 structure.

Properties
**Theoretical density**: 5.76 g/cm3
**N(E_F)**: 0.923 states/eV per atom
**Formation energy from raw total energies**: -2.6831 eV per atom
**Total energy**: -7.47 eV per atom
**Space group**: Fm-3m

Cell and atoms, written as POSCAR:
```
K2TbUO6
1.0
6.153 0.000 0.000
0.000 6.153 0.000
3.076 3.076 4.350
O K Tb U
6 2 1 1
Cartesian
6.154 6.153 2.274 O
1.608 1.609 0.001 O
7.621 4.685 4.349 O
1.608 4.544 0.000 O
7.622 7.620 4.348 O
3.075 3.076 2.075 O
3.076 6.153 2.175 K
6.153 3.076 2.174 K
0.000 0.000 0.000 Tb
3.077 3.076 0.000 U
```

=====

A plane-wave DFT calculation with PBE-GGA was carried out for a geometry-optimized K2TbU3O12 structure.

Properties
**Theoretical density**: 5.22 g/cm3
**N(E_F)**: 0.904 states/eV per atom
**Formation energy from raw total energies**: -2.8728 eV per atom
**Total energy**: -8.44 eV per atom
**Space group**: R-3m

Cell and atoms, written as POSCAR:
```
K2TbU3O12
1.0
-0.304 -4.811 -6.268
-5.423 -5.754 -0.034
-6.138 0.679 -4.938
O K U Tb
12 2 3 1
Cartesian
-8.021 -3.776 -3.783 O
-4.299 -7.279 -4.632 O
-7.395 -9.600 -7.525 O
-7.566 -2.608 -6.608 O
-4.045 -4.104 -0.804 O
-3.844 -6.111 -7.456 O
-1.008 -3.545 -4.503 O
-7.819 -5.782 -10.435 O
-4.755 -3.174 -7.760 O
-10.857 -6.342 -6.737 O
-4.470 -0.287 -3.714 O
-7.110 -6.713 -3.479 O
-8.011 -6.675 -7.588 K
-3.854 -3.212 -3.651 K
-0.152 -2.406 -3.134 U
-2.712 -2.877 -0.017 U
-3.069 0.340 -2.469 U
0.000 0.000 0.000 Tb
```

=====

A plane-wave DFT calculation with PBE-GGA was carried out for a geometry-optimized K3Tb3UO8 structure.

Properties
**Theoretical density**: 5.89 g/cm3
**N(E_F)**: 0.534 states/eV per atom
**Formation energy from raw total energies**: -2.8212 eV per atom
**Total energy**: -7.36 eV per atom
**Space group**: R-3m

Cell and atoms, written as POSCAR:
```
K3Tb3UO8
1.0
-0.094 -4.476 5.396
3.149 -1.806 -5.998
3.392 5.149 4.330
O K Tb U
8 3 3 1
Cartesian
3.672 -0.568 4.149 O
2.795 -2.837 2.251 O
1.214 0.414 2.563 O
2.775 -0.566 -0.421 O
3.652 1.704 1.477 O
5.233 -1.547 1.165 O
5.282 0.769 -1.627 O
1.165 -1.903 5.355 O
0.000 0.000 0.000 K
1.527 -3.141 -0.301 K
1.575 -0.903 -2.999 K
1.649 0.336 4.863 Tb
3.271 1.671 -0.834 Tb
3.223 -0.567 1.864 Tb
1.696 2.574 2.165 U
```

=====

theoretical density of number 6 (K2TbTmO4)?
6.00 g/cm3

=====

Which of these has the lowest formation energy from raw total energies?
KTbTi2O6

=====

Please write out number 9 again, unchanged.
A plane-wave DFT calculation with PBE-GGA was carried out for a geometry-optimized K3Tb3UO8 structure.

Properties
**Theoretical density**: 5.89 g/cm3
**N(E_F)**: 0.534 states/eV per atom
**Formation energy from raw total energies**: -2.8212 eV per atom
**Total energy**: -7.36 eV per atom
**Space group**: R-3m

Cell and atoms, written as POSCAR:
```
K3Tb3UO8
1.0
-0.094 -4.476 5.396
3.149 -1.806 -5.998
3.392 5.149 4.330
O K Tb U
8 3 3 1
Cartesian
3.672 -0.568 4.149 O
2.795 -2.837 2.251 O
1.214 0.414 2.563 O
2.775 -0.566 -0.421 O
3.652 1.704 1.477 O
5.233 -1.547 1.165 O
5.282 0.769 -1.627 O
1.165 -1.903 5.355 O
0.000 0.000 0.000 K
1.527 -3.141 -0.301 K
1.575 -0.903 -2.999 K
1.649 0.336 4.863 Tb
3.271 1.671 -0.834 Tb
3.223 -0.567 1.864 Tb
1.696 2.574 2.165 U
```

=====

Among the records above, which one has the lowest theoretical density?
KTbTi2O6